[1]
DFT (GGA-PBE) results for an optimized crystal structure of SiGeNO2.

Structure (CIF):
```
data_SiGeNO2
_chemical_formula_sum 'Si1 Ge1 N1 O2'
_cell_length_a 3.457
_cell_length_b 3.457
_cell_length_c 3.963
_cell_angle_alpha 90.00
_cell_angle_beta 90.00
_cell_angle_gamma 90.00
_symmetry_space_group_name_H-M 'P 4/m m m'
_symmetry_Int_Tables_number 123
_symmetry_space_group_name_Hall '-P 4 2'
loop_
_atom_site_label
_atom_site_fract_x
_atom_site_fract_y
_atom_site_fract_z
_atom_site_occupancy
Si1 0.000 0.000 0.000 1
Ge1 0.500 0.500 0.500 1
N1 0.000 0.000 0.500 1
O1 0.000 0.500 0.000 1
```

---

[2]
DFT (GGA-PBE) results for an optimized crystal structure of SiGeN2O.

Structure (CIF):
```
data_SiGeN2O
_chemical_formula_sum 'Si4 Ge4 N8 O4'
_cell_length_a 5.673
_cell_length_b 9.165
_cell_length_c 5.033
_cell_angle_alpha 90.00
_cell_angle_beta 90.52
_cell_angle_gamma 90.00
_symmetry_space_group_name_H-M 'C 1 m 1'
_symmetry_Int_Tables_number 8
loop_
_symmetry_equiv_pos_as_xyz
'x,y,z'
'x,-y,z'
'x+1/2,y+1/2,z'
'x+1/2,-y+1/2,z'
loop_
_atom_site_label
_atom_site_fract_x
_atom_site_fract_y
_atom_site_fract_z
_atom_site_occupancy
Si1 0.000 0.174 0.000 1
Ge1 0.305 0.178 0.505 1
N1 0.018 0.202 0.338 1
N2 0.267 0.228 0.858 1
O1 0.418 0.000 0.454 1
O2 0.466 0.500 0.928 1
```

---

[3]
DFT (GGA-PBE) results for an optimized crystal structure of SiGeN2O.

Structure (CIF):
```
data_SiGeN2O
_chemical_formula_sum 'Si1 Ge1 N2 O1'
_cell_length_a 3.498
_cell_length_b 3.498
_cell_length_c 7.197
_cell_angle_alpha 90.00
_cell_angle_beta 90.00
_cell_angle_gamma 90.00
_symmetry_space_group_name_H-M 'P 4/m m m'
_symmetry_Int_Tables_number 123
_symmetry_space_group_name_Hall '-P 4 2'
loop_
_atom_site_label
_atom_site_fract_x
_atom_site_fract_y
_atom_site_fract_z
_atom_site_occupancy
Si1 0.000 0.000 0.000 1
Ge1 0.000 0.000 0.500 1
N1 0.000 0.500 0.500 1
O1 0.500 0.500 0.000 1
```

---

[4]
DFT (GGA-PBE) results for an optimized crystal structure of SiGeN2O.

Structure (CIF):
```
data_SiGeN2O
_chemical_formula_sum 'Si1 Ge1 N2 O1'
_cell_length_a 3.716
_cell_length_b 3.716
_cell_length_c 3.473
_cell_angle_alpha 90.00
_cell_angle_beta 90.00
_cell_angle_gamma 90.00
_symmetry_space_group_name_H-M 'P 4/m m m'
_symmetry_Int_Tables_number 123
_symmetry_space_group_name_Hall '-P 4 2'
loop_
_atom_site_label
_atom_site_fract_x
_atom_site_fract_y
_atom_site_fract_z
_atom_site_occupancy
Si1 0.000 0.000 0.000 1
Ge1 0.500 0.500 0.500 1
N1 0.000 0.500 0.000 1
O1 0.000 0.000 0.500 1
```

---

[5]
DFT (GGA-PBE) results for an optimized crystal structure of SiGeN2O.

Structure (CIF):
```
data_SiGeN2O
_chemical_formula_sum 'Si1 Ge1 N2 O1'
_cell_length_a 3.850
_cell_length_b 3.850
_cell_length_c 3.656
_cell_angle_alpha 90.00
_cell_angle_beta 90.00
_cell_angle_gamma 90.00
_symmetry_space_group_name_H-M 'P 4/m m m'
_symmetry_Int_Tables_number 123
_symmetry_space_group_name_Hall '-P 4 2'
loop_
_atom_site_label
_atom_site_fract_x
_atom_site_fract_y
_atom_site_fract_z
_atom_site_occupancy
Si1 0.000 0.000 0.000 1
Ge1 0.500 0.500 0.500 1
N1 0.000 0.500 0.500 1
O1 0.500 0.500 0.000 1
```

---

[6]
DFT (GGA-PBE) results for an optimized crystal structure of SnGeNO2.

Structure (CIF):
```
data_SnGeNO2
_chemical_formula_sum 'Sn1 Ge1 N1 O2'
_cell_length_a 4.063
_cell_length_b 4.063
_cell_length_c 4.193
_cell_angle_alpha 90.00
_cell_angle_beta 90.00
_cell_angle_gamma 90.00
_symmetry_space_group_name_H-M 'P 4/m m m'
_symmetry_Int_Tables_number 123
_symmetry_space_group_name_Hall '-P 4 2'
loop_
_atom_site_label
_atom_site_fract_x
_atom_site_fract_y
_atom_site_fract_z
_atom_site_occupancy
Sn1 0.000 0.000 0.000 1
Ge1 0.500 0.500 0.500 1
N1 0.000 0.000 0.500 1
O1 0.000 0.500 0.000 1
```

---

[7]
DFT (GGA-PBE) results for an optimized crystal structure of SnGeNO2.

Structure (CIF):
```
data_SnGeNO2
_chemical_formula_sum 'Sn1 Ge1 N1 O2'
_cell_length_a 3.717
_cell_length_b 3.717
_cell_length_c 4.118
_cell_angle_alpha 90.00
_cell_angle_beta 90.00
_cell_angle_gamma 90.00
_symmetry_space_group_name_H-M 'P 4/m m m'
_symmetry_Int_Tables_number 123
_symmetry_space_group_name_Hall '-P 4 2'
loop_
_atom_site_label
_atom_site_fract_x
_atom_site_fract_y
_atom_site_fract_z
_atom_site_occupancy
Sn1 0.000 0.000 0.000 1
Ge1 0.500 0.500 0.500 1
N1 0.500 0.500 0.000 1
O1 0.000 0.500 0.500 1
```

---

[8]
DFT (GGA-PBE) results for an optimized crystal structure of SrGeN2O.

Structure (CIF):
```
data_SrGeN2O
_chemical_formula_sum 'Sr1 Ge1 N2 O1'
_cell_length_a 3.872
_cell_length_b 3.872
_cell_length_c 4.103
_cell_angle_alpha 90.00
_cell_angle_beta 90.00
_cell_angle_gamma 90.00
_symmetry_space_group_name_H-M 'P 4/m m m'
_symmetry_Int_Tables_number 123
_symmetry_space_group_name_Hall '-P 4 2'
loop_
_atom_site_label
_atom_site_fract_x
_atom_site_fract_y
_atom_site_fract_z
_atom_site_occupancy
Sr1 0.000 0.000 0.000 1
Ge1 0.500 0.500 0.500 1
N1 0.000 0.500 0.500 1
O1 0.500 0.500 0.000 1
```

---

[9]
DFT (GGA-PBE) results for an optimized crystal structure of SrGeN2O.

Structure (CIF):
```
data_SrGeN2O
_chemical_formula_sum 'Sr1 Ge1 N2 O1'
_cell_length_a 4.813
_cell_length_b 4.813
_cell_length_c 4.577
_cell_angle_alpha 90.00
_cell_angle_beta 90.00
_cell_angle_gamma 90.00
_symmetry_space_group_name_H-M 'P 4/m m m'
_symmetry_Int_Tables_number 123
_symmetry_space_group_name_Hall '-P 4 2'
loop_
_atom_site_label
_atom_site_fract_x
_atom_site_fract_y
_atom_site_fract_z
_atom_site_occupancy
Sr1 0.000 0.000 0.000 1
Ge1 0.500 0.500 0.500 1
N1 0.000 0.500 0.000 1
O1 0.000 0.000 0.500 1
```

---

[10]
DFT (GGA-PBE) results for an optimized crystal structure of TaGeN2O.

Structure (CIF):
```
data_TaGeN2O
_chemical_formula_sum 'Ta1 Ge1 N2 O1'
_cell_length_a 4.102
_cell_length_b 4.102
_cell_length_c 3.951
_cell_angle_alpha 90.00
_cell_angle_beta 90.00
_cell_angle_gamma 90.00
_symmetry_space_group_name_H-M 'P 4/m m m'
_symmetry_Int_Tables_number 123
_symmetry_space_group_name_Hall '-P 4 2'
loop_
_atom_site_label
_atom_site_fract_x
_atom_site_fract_y
_atom_site_fract_z
_atom_site_occupancy
Ta1 0.000 0.000 0.000 1
Ge1 0.500 0.500 0.500 1
N1 0.000 0.500 0.000 1
O1 0.000 0.000 0.500 1
```

---

[11]
DFT (GGA-PBE) results for an optimized crystal structure of TaGeN2O.

Structure (CIF):
```
data_TaGeN2O
_chemical_formula_sum 'Ta1 Ge1 N2 O1'
_cell_length_a 3.792
_cell_length_b 3.792
_cell_length_c 3.585
_cell_angle_alpha 90.00
_cell_angle_beta 90.00
_cell_angle_gamma 90.00
_symmetry_space_group_name_H-M 'P 4/m m m'
_symmetry_Int_Tables_number 123
_symmetry_space_group_name_Hall '-P 4 2'
loop_
_atom_site_label
_atom_site_fract_x
_atom_site_fract_y
_atom_site_fract_z
_atom_site_occupancy
Ta1 0.000 0.000 0.000 1
Ge1 0.500 0.500 0.500 1
N1 0.000 0.500 0.500 1
O1 0.500 0.500 0.000 1
```

---

[12]
DFT (GGA-PBE) results for an optimized crystal structure of GeTeN2O.

Structure (CIF):
```
data_GeTeN2O
_chemical_formula_sum 'Ge1 Te1 N2 O1'
_cell_length_a 3.929
_cell_length_b 3.929
_cell_length_c 3.688
_cell_angle_alpha 90.00
_cell_angle_beta 90.00
_cell_angle_gamma 90.00
_symmetry_space_group_name_H-M 'P 4/m m m'
_symmetry_Int_Tables_number 123
_symmetry_space_group_name_Hall '-P 4 2'
loop_
_atom_site_label
_atom_site_fract_x
_atom_site_fract_y
_atom_site_fract_z
_atom_site_occupancy
Ge1 0.000 0.000 0.000 1
Te1 0.500 0.500 0.500 1
N1 0.000 0.500 0.000 1
O1 0.000 0.000 0.500 1
```

---

[13]
DFT (GGA-PBE) results for an optimized crystal structure of GeTeN2O.

Structure (CIF):
```
data_GeTeN2O
_chemical_formula_sum 'Ge1 Te1 N2 O1'
_cell_length_a 4.030
_cell_length_b 4.030
_cell_length_c 3.966
_cell_angle_alpha 90.00
_cell_angle_beta 90.00
_cell_angle_gamma 90.00
_symmetry_space_group_name_H-M 'P 4/m m m'
_symmetry_Int_Tables_number 123
_symmetry_space_group_name_Hall '-P 4 2'
loop_
_atom_site_label
_atom_site_fract_x
_atom_site_fract_y
_atom_site_fract_z
_atom_site_occupancy
Ge1 0.000 0.000 0.000 1
Te1 0.500 0.500 0.500 1
N1 0.000 0.500 0.500 1
O1 0.500 0.500 0.000 1
```

---

[14]
DFT (GGA-PBE) results for an optimized crystal structure of GeTeN2O.

Structure (CIF):
```
data_GeTeN2O
_chemical_formula_sum 'Ge1 Te1 N2 O1'
_cell_length_a 3.563
_cell_length_b 3.563
_cell_length_c 6.556
_cell_angle_alpha 90.00
_cell_angle_beta 90.00
_cell_angle_gamma 90.00
_symmetry_space_group_name_H-M 'P 4/m m m'
_symmetry_Int_Tables_number 123
_symmetry_space_group_name_Hall '-P 4 2'
loop_
_atom_site_label
_atom_site_fract_x
_atom_site_fract_y
_atom_site_fract_z
_atom_site_occupancy
Ge1 0.000 0.000 0.000 1
Te1 0.000 0.000 0.500 1
N1 0.000 0.500 0.000 1
O1 0.500 0.500 0.500 1
```

---

[15]
# GeTe2NO GGA-PBE optimized geometry
# - Offset from the most stable computed form: 0.000 eV per atom
data_GeTe2NO
_chemical_formula_sum 'Ge1 Te2 N1 O1'
_cell_length_a 4.774
_cell_length_b 4.774
_cell_length_c 4.093
_cell_angle_alpha 90.00
_cell_angle_beta 90.00
_cell_angle_gamma 90.00
_symmetry_space_group_name_H-M 'P 4/m m m'
_symmetry_Int_Tables_number 123
_symmetry_space_group_name_Hall '-P 4 2'
loop_
_atom_site_label
_atom_site_fract_x
_atom_site_fract_y
_atom_site_fract_z
_atom_site_occupancy
Ge1 0.000 0.000 0.000 1
Te1 0.000 0.500 0.500 1
N1 0.500 0.500 0.000 1
O1 0.500 0.500 0.500 1

---

[16]
DFT (GGA-PBE) results for an optimized crystal structure of GeTeN2O.

Structure (CIF):
```
data_GeTeN2O
_chemical_formula_sum 'Ge1 Te1 N2 O1'
_cell_length_a 4.102
_cell_length_b 4.102
_cell_length_c 4.197
_cell_angle_alpha 90.00
_cell_angle_beta 90.00
_cell_angle_gamma 90.00
_symmetry_space_group_name_H-M 'P 4/m m m'
_symmetry_Int_Tables_number 123
_symmetry_space_group_name_Hall '-P 4 2'
loop_
_atom_site_label
_atom_site_fract_x
_atom_site_fract_y
_atom_site_fract_z
_atom_site_occupancy
Ge1 0.000 0.000 0.000 1
Te1 0.500 0.500 0.000 1
N1 0.000 0.500 0.500 1
O1 0.500 0.500 0.500 1
```

---

[17]
# GeTe2NO GGA-PBE optimized geometry
# - Offset from the most stable computed form: 0.045 eV per atom
data_GeTe2NO
_chemical_formula_sum 'Ge1 Te2 N1 O1'
_cell_length_a 5.651
_cell_length_b 5.651
_cell_length_c 3.446
_cell_angle_alpha 90.00
_cell_angle_beta 90.00
_cell_angle_gamma 90.00
_symmetry_space_group_name_H-M 'P 4/m m m'
_symmetry_Int_Tables_number 123
_symmetry_space_group_name_Hall '-P 4 2'
loop_
_atom_site_label
_atom_site_fract_x
_atom_site_fract_y
_atom_site_fract_z
_atom_site_occupancy
Ge1 0.000 0.000 0.000 1
Te1 0.000 0.500 0.000 1
N1 0.000 0.000 0.500 1
O1 0.500 0.500 0.500 1

---

[18]
DFT (GGA-PBE) results for an optimized crystal structure of TlGeNO2.

Structure (CIF):
```
data_TlGeNO2
_chemical_formula_sum 'Tl1 Ge1 N1 O2'
_cell_length_a 4.281
_cell_length_b 4.281
_cell_length_c 4.255
_cell_angle_alpha 90.00
_cell_angle_beta 90.00
_cell_angle_gamma 90.00
_symmetry_space_group_name_H-M 'P 4/m m m'
_symmetry_Int_Tables_number 123
_symmetry_space_group_name_Hall '-P 4 2'
loop_
_atom_site_label
_atom_site_fract_x
_atom_site_fract_y
_atom_site_fract_z
_atom_site_occupancy
Tl1 0.000 0.000 0.000 1
Ge1 0.500 0.500 0.500 1
N1 0.000 0.000 0.500 1
O1 0.000 0.500 0.000 1
```

---

[19]
DFT (GGA-PBE) results for an optimized crystal structure of TlGeNO2.

Structure (CIF):
```
data_TlGeNO2
_chemical_formula_sum 'Tl1 Ge1 N1 O2'
_cell_length_a 3.739
_cell_length_b 3.739
_cell_length_c 4.170
_cell_angle_alpha 90.00
_cell_angle_beta 90.00
_cell_angle_gamma 90.00
_symmetry_space_group_name_H-M 'P 4/m m m'
_symmetry_Int_Tables_number 123
_symmetry_space_group_name_Hall '-P 4 2'
loop_
_atom_site_label
_atom_site_fract_x
_atom_site_fract_y
_atom_site_fract_z
_atom_site_occupancy
Tl1 0.000 0.000 0.000 1
Ge1 0.500 0.500 0.500 1
N1 0.500 0.500 0.000 1
O1 0.000 0.500 0.500 1
```

---

no.,uncorrected formation energy (kcal/mol of atoms),theoretical density (Mg/m³),E_tot (eV per atom)
1,-19.65,5.143,-6.508
2,-25.04,3.674,-7.416
3,30.02,2.729,-5.028
4,-0.31,5.011,-6.343
5,18.58,4.436,-5.524
6,-1.27,5.694,-5.427
7,-10.09,6.928,-5.810
8,-8.08,5.514,-5.932
9,31.51,3.199,-4.215
10,-9.04,7.433,-8.008
11,6.02,9.584,-7.355
12,13.50,7.125,-5.288
13,18.38,6.297,-5.077
14,26.62,4.872,-4.719
15,24.33,6.370,-3.782
16,43.17,5.742,-4.002
17,25.36,5.400,-3.737
18,20.23,6.880,-4.168
19,-4.01,9.202,-5.219